This record from the Alexandria database describes Tb6ZnAu after structural relaxation. The functional is GGA-PBE.

Values from the calculation:
Total moment: 0.0 μB per cell
E_form: -26 kJ per mole of atoms
Space-group type: I4/mmm
Electronic total energy: -4.313 eV per atom

Cell: 9.4628 9.4628 9.4628 Å, 149.05 149.05 44.33°
Sites, in units of the cell vectors:
Tb (0.1044, 0.6044, 0.5000)
Tb (0.2484, 0.2484, 0.0000)
Tb (0.3956, 0.8956, 0.5000)
Tb (0.6044, 0.1044, 0.5000)
Tb (0.7516, 0.7516, 0.0000)
Tb (0.8956, 0.3956, 0.5000)
Zn (0.0000, 0.0000, 0.0000)
Au (0.5000, 0.5000, 0.0000)